DFT (PBEsol) results for a geometry-optimized BaMnRe structure.

The value obtained for the energy relative to the elements is 839 meV/atom. Its total moment is 0.00 μB/cell. The calculation puts the density of states at the Fermi level at 1.152 states/eV/atom. The symmetry is P3m1 (156). The total energy comes out at -7.57 eV/atom.

```
BaMnRe
1.0
3.908 0.000 0.000
-1.954 3.385 0.000
0.000 0.000 5.331
Ba Mn Re
1 1 1
direct
0.000 0.000 0.000
0.333 0.667 0.475
0.667 0.333 0.518
```